Compound: KLaAl2Pd
Source: Alexandria
Functional: PBE
Structure: relaxed

```
KLaAl2Pd
1.0
5.050 0.000 0.000
0.000 5.050 0.000
0.000 0.000 5.478
Al Pd K La
2 1 1 1
Direct
0.000 0.500 0.000 Al
0.500 0.000 0.000 Al
0.000 0.000 0.000 Pd
0.500 0.500 0.500 K
0.000 0.000 0.500 La
```

Results
DFT total energy: -3.8515 eV/atom
total magnetization: 0.0 μB/cell
symmetry: P4/mmm (123)